DFT (PBE) results for LiGePCl2 after structural relaxation.

Cell lengths 5.231, 5.231, 4.728 Å; angles 90.00, 90.00, 90.00 degrees
Space group P4/mmm (No. 123)
One atom of each set of equivalent atoms:
Li 0.000 0.000 0.000 (multiplicity 1)
Ge 0.500 0.500 0.500 (multiplicity 1)
P 0.500 0.500 0.000 (multiplicity 1)
Cl 0.000 0.500 0.500 (multiplicity 2)

Values from the calculation:
magnetization = 1.0 μB per cell
ΔE_f (raw) = -207 meV per atom
energy relative to the lowest polymorph listed for this composition = 0.00 kcal/mol of atoms
total energy = -3.33 eV/atom